1.
Computed, not measured: a relaxed Na5Pm3I12 crystal at the PBE level of DFT.

Results
- Size of the total moment: 8.1 μB/cell
- Uncorrected formation energy: -1.107 eV/atom
- DOS at the Fermi energy: 11.289 states/eV/f.u.
- E: -3.079 eV per atom
- Space group: No. 230

Lattice parameters (Å, degrees): 16.059 16.059 16.059 109.47 109.47 109.47
Fractional coordinates of all 80 atoms:
1 Na 0.000 0.000 0.000
2 Na 0.000 0.000 0.500
3 Na 0.000 0.500 0.000
4 Na 0.000 0.500 0.500
5 Na 0.125 0.750 0.875
6 Na 0.125 0.875 0.250
7 Na 0.250 0.125 0.875
8 Na 0.250 0.625 0.375
9 Na 0.375 0.250 0.625
10 Na 0.375 0.625 0.750
11 Na 0.500 0.000 0.000
12 Na 0.500 0.000 0.500
13 Na 0.500 0.500 0.000
14 Na 0.500 0.500 0.500
15 Na 0.625 0.375 0.250
16 Na 0.625 0.750 0.375
17 Na 0.750 0.375 0.625
18 Na 0.750 0.875 0.125
19 Na 0.875 0.125 0.750
20 Na 0.875 0.250 0.125
21 Pm 0.125 0.250 0.375
22 Pm 0.125 0.375 0.750
23 Pm 0.250 0.375 0.125
24 Pm 0.250 0.875 0.625
25 Pm 0.375 0.125 0.250
26 Pm 0.375 0.750 0.125
27 Pm 0.625 0.250 0.875
28 Pm 0.625 0.875 0.750
29 Pm 0.750 0.125 0.375
30 Pm 0.750 0.625 0.875
31 Pm 0.875 0.625 0.250
32 Pm 0.875 0.750 0.625
33 I 0.050 0.225 0.131
34 I 0.050 0.325 0.918
35 I 0.082 0.631 0.407
36 I 0.082 0.950 0.675
37 I 0.093 0.725 0.675
38 I 0.093 0.869 0.418
39 I 0.131 0.050 0.225
40 I 0.131 0.582 0.907
41 I 0.175 0.225 0.593
42 I 0.175 0.450 0.582
43 I 0.225 0.131 0.050
44 I 0.225 0.593 0.175
45 I 0.275 0.325 0.907
46 I 0.275 0.450 0.369
47 I 0.325 0.907 0.275
48 I 0.325 0.918 0.050
49 I 0.369 0.275 0.450
50 I 0.369 0.593 0.918
51 I 0.407 0.082 0.631
52 I 0.407 0.825 0.775
53 I 0.418 0.093 0.869
54 I 0.418 0.825 0.550
55 I 0.450 0.369 0.275
56 I 0.450 0.582 0.175
57 I 0.550 0.418 0.825
58 I 0.550 0.631 0.725
59 I 0.582 0.175 0.450
60 I 0.582 0.907 0.131
61 I 0.593 0.175 0.225
62 I 0.593 0.918 0.369
63 I 0.631 0.407 0.082
64 I 0.631 0.725 0.550
65 I 0.675 0.082 0.950
66 I 0.675 0.093 0.725
67 I 0.725 0.550 0.631
68 I 0.725 0.675 0.093
69 I 0.775 0.407 0.825
70 I 0.775 0.869 0.950
71 I 0.825 0.550 0.418
72 I 0.825 0.775 0.407
73 I 0.869 0.418 0.093
74 I 0.869 0.950 0.775
75 I 0.907 0.131 0.582
76 I 0.907 0.275 0.325
77 I 0.918 0.050 0.325
78 I 0.918 0.369 0.593
79 I 0.950 0.675 0.082
80 I 0.950 0.775 0.869

2.
Computed, not measured: a relaxed PmSbAu2 crystal at the PBE level of DFT.

Results
- Size of the total moment: 0.0 μB/cell
- Uncorrected formation energy: -0.544 eV/atom
- Energy relative to the lowest polymorph listed for this composition: 0.083 eV/atom
- DOS at the Fermi energy: 1.591 states/eV/f.u.
- E: -4.401 eV per atom
- Space group: No. 123

Lattice parameters (Å, degrees): 3.864 3.864 6.361 90.00 90.00 90.00
Fractional coordinates of all 4 atoms:
1 Pm 0.000 0.000 0.000
2 Sb 0.000 0.000 0.500
3 Au 0.500 0.500 0.247
4 Au 0.500 0.500 0.753